The following is a GGA-PBE calculation of crystalline Hf3BeN at its relaxed geometry, from Alexandria.

The excess energy over the best structure of this formula in the dataset is 205 meV per atom.

a b c (Å): 6.6467 5.6036 8.5981
angles (deg): 90.00 97.74 90.00
Closest atoms and distances in Å follow each position.
Atoms (fractional coordinates):
Hf1 0.0627 0.0776 0.1783  3 N 2.21-2.40
Hf2 0.0627 0.4224 0.6783  3 N 2.21-2.40
Hf3 0.2165 0.5676 0.0545  2 N 2.18-2.21
Hf4 0.2165 0.9324 0.5545  2 N 2.18-2.21
Hf5 0.3775 0.1462 0.8827  1 N 2.22
Hf6 0.3775 0.3538 0.3827  1 N 2.22
Hf7 0.6225 0.6462 0.6173  1 N 2.22
Hf8 0.6225 0.8538 0.1173  1 N 2.22
Hf9 0.7835 0.0676 0.4455  2 N 2.18-2.21
Hf10 0.7835 0.4324 0.9455  2 N 2.18-2.21
Hf11 0.9373 0.5776 0.3217  3 N 2.21-2.40
Hf12 0.9373 0.9224 0.8217  3 N 2.21-2.40
Be1 0.3746 0.6853 0.8228  4 Hf 2.46-2.71
Be2 0.3746 0.8147 0.3228  4 Hf 2.46-2.71
Be3 0.6254 0.1853 0.6772  4 Hf 2.46-2.71
Be4 0.6254 0.3147 0.1772  4 Hf 2.46-2.71
N1 0.0710 0.2497 0.4353  6 Hf 2.18-2.40
N2 0.0710 0.2503 0.9353  6 Hf 2.18-2.40
N3 0.9290 0.7497 0.0647  6 Hf 2.18-2.40
N4 0.9290 0.7503 0.5647  6 Hf 2.18-2.40

The following is a GGA-PBE calculation of crystalline HfBeN3 at its relaxed geometry, from Alexandria.

a b c (Å): 3.4706 3.4706 3.4706
angles (deg): 90.00 90.00 90.00
Closest atoms and distances in Å follow each position.
Atoms (fractional coordinates):
Hf1 0.0000 0.0000 0.0000  12 N 2.45
Be1 0.5000 0.5000 0.5000  6 N 1.74
N1 0.0000 0.5000 0.5000  2 Be 1.74
N2 0.5000 0.0000 0.5000  2 Be 1.74
N3 0.5000 0.5000 0.0000  2 Be 1.74

The following is a GGA-PBE calculation of crystalline Hf3BeN at its relaxed geometry, from Alexandria.

The excess energy over the best structure of this formula in the dataset is 248 meV per atom.

a b c (Å): 4.3479 4.3479 4.3479
angles (deg): 90.00 90.00 90.00
Closest atoms and distances in Å follow each position.
Atoms (fractional coordinates):
Hf1 0.0000 0.0000 0.5000  2 N 2.17
Hf2 0.0000 0.5000 0.0000  2 N 2.17
Hf3 0.5000 0.0000 0.0000  2 N 2.17
Be1 0.5000 0.5000 0.5000  12 Hf 3.07
N1 0.0000 0.0000 0.0000  6 Hf 2.17

The following is a GGA-PBE calculation of crystalline HfBeN3 at its relaxed geometry, from Alexandria.

a b c (Å): 4.1428 4.1428 4.1428
angles (deg): 90.00 90.00 90.00
Closest atoms and distances in Å follow each position.
Atoms (fractional coordinates):
Hf1 0.0000 0.0000 0.0000  6 N 2.07
Be1 0.5000 0.5000 0.5000  12 N 2.93
N1 0.0000 0.0000 0.5000  2 Hf 2.07
N2 0.0000 0.5000 0.0000  2 Hf 2.07
N3 0.5000 0.0000 0.0000  2 Hf 2.07

| no. | total DFT energy (no corrections) (eV per atom) | DOS(E_F) (states/eV/cell) |
| --- | --- | --- |
| 1 | -9.0183 | 12.05 |
| 2 | -7.6535 | 2.84 |
| 3 | -8.9746 | 2.80 |
| 4 | -6.6508 | 2.99 |